This record from Alexandria via LeMat-Bulk describes a relaxed BeAlI2 crystal. The functional is PBE-GGA.

a b c (Å): 7.470 7.470 7.470
angles (deg): 90.00 90.00 90.00
Fractional coordinates of all 16 atoms:
Be: 0.000 0.000 0.000
Be: 0.000 0.500 0.500
Be: 0.500 0.000 0.500
Be: 0.500 0.500 0.000
Al: 0.000 0.000 0.500
Al: 0.000 0.500 0.000
Al: 0.500 0.000 0.000
Al: 0.500 0.500 0.500
I: 0.250 0.250 0.250
I: 0.250 0.250 0.750
I: 0.250 0.750 0.250
I: 0.250 0.750 0.750
I: 0.750 0.250 0.250
I: 0.750 0.250 0.750
I: 0.750 0.750 0.250
I: 0.750 0.750 0.750

Computed properties:
The value obtained for the total DFT energy (no corrections) is -32.133 eV per cell. Its space group is Fm-3m (225). The density is 4.6 g/cm3. For the raw formation energy, the calculation gives 0.634 eV per atom. The energy above the most stable polymorph in this dataset comes out at 282 meV/atom.

=====

This record from Alexandria via LeMat-Bulk describes a relaxed CdAu7 crystal. The functional is PBE-GGA.

a b c (Å): 5.921 5.921 5.921
angles (deg): 60.00 60.00 60.00
Fractional coordinates of all 8 atoms:
Cd: 0.000 0.000 0.000
Au: 0.000 0.000 0.500
Au: 0.000 0.500 0.000
Au: 0.000 0.500 0.500
Au: 0.500 0.000 0.000
Au: 0.500 0.000 0.500
Au: 0.500 0.500 0.000
Au: 0.500 0.500 0.500

Computed properties:
The value obtained for the total DFT energy (no corrections) is -24.313 eV per cell. The calculation puts the formation energy at -0.0571 eV per atom. Its space group is Fm-3m (225). The density is 16.9 g/cm3.

=====

This record from Alexandria via LeMat-Bulk describes a relaxed ScZn14Ag crystal. The functional is PBE-GGA.

a b c (Å): 8.772 5.609 5.609
angles (deg): 67.06 90.00 90.00
Fractional coordinates of all 16 atoms:
Sc: 0.000 0.000 0.000
Zn: 0.000 0.070 0.482
Zn: 0.000 0.482 0.070
Zn: 0.241 0.741 0.741
Zn: 0.257 0.195 0.195
Zn: 0.258 0.243 0.687
Zn: 0.258 0.687 0.243
Zn: 0.500 0.026 0.026
Zn: 0.500 0.069 0.521
Zn: 0.500 0.521 0.069
Zn: 0.500 0.570 0.570
Zn: 0.742 0.243 0.687
Zn: 0.742 0.687 0.243
Zn: 0.743 0.195 0.195
Zn: 0.759 0.741 0.741
Ag: 0.000 0.548 0.548

Computed properties:
The value obtained for the total DFT energy (no corrections) is -27.754 eV per cell. The calculation puts the formation energy at -0.0460 eV per atom. Its space group is Amm2 (38). The density is 7.0 g/cm3.

=====

This record from Alexandria via LeMat-Bulk describes a relaxed Hf3Ti2Te3 crystal. The functional is PBE-GGA.

a b c (Å): 6.057 6.057 12.863
angles (deg): 90.00 90.00 131.39
Fractional coordinates of all 16 atoms:
Hf: 0.116 0.884 0.630
Hf: 0.116 0.884 0.870
Hf: 0.375 0.625 0.750
Hf: 0.625 0.375 0.250
Hf: 0.884 0.116 0.130
Hf: 0.884 0.116 0.370
Ti: 0.147 0.853 0.115
Ti: 0.147 0.853 0.385
Ti: 0.853 0.147 0.615
Ti: 0.853 0.147 0.885
Te: 0.343 0.657 0.250
Te: 0.353 0.647 0.521
Te: 0.353 0.647 0.979
Te: 0.647 0.353 0.021
Te: 0.647 0.353 0.479
Te: 0.657 0.343 0.750

Computed properties:
The value obtained for the total DFT energy (no corrections) is -112.686 eV per cell. Its space group is Cmcm (63). The density is 9.5 g/cm3. For the raw formation energy, the calculation gives -0.159 eV per atom.